The following is a PBE-GGA calculation of PaAg2PO6 after structural relaxation, from Alexandria via LeMat-Bulk.

Calculated values
ρ: 7.3 g/cm3
E_tot: -0.505 Ry per atom

Cell: 5.3532 5.3532 4.5470 Å, 90.00 90.00 90.00°
Last column: nearest neighbours and their distance in Å.
Space group P4mm (No. 99)
Unique sites:
Pa: 0.0000 0.0000 0.0000 [1 per cell]  6 O 2.15-2.32
Ag: 0.0000 0.5000 0.4648 [2 per cell]  8 O 2.68-2.80
P: 0.5000 0.5000 0.9233 [1 per cell]  5 O 1.55-1.69
O: 0.0000 0.0000 0.5094 [1 per cell]  2 Pa 2.23-2.32
O: 0.2835 0.2835 0.0149 [4 per cell]  1 P 1.69
O: 0.5000 0.5000 0.5822 [1 per cell]  1 P 1.55